(1)
## Ho2HfAl3Cu2Ni (PBE)

Data for a relaxed structure of Ho2HfAl3Cu2Ni.

abc: 3.916 6.891 6.891
angles: 120.49 90.00 90.00
Atoms (fractional coordinates):
1 Ho 0.000 0.589 0.999
2 Ho 0.000 0.999 0.589
3 Cu 0.500 0.337 0.655
4 Cu 0.500 0.655 0.337
5 Al 0.500 0.007 0.237
6 Al 0.500 0.759 0.759
7 Al 0.500 0.237 0.007
8 Hf 0.000 0.405 0.405
9 Ni 0.000 0.012 0.012

Computed properties:
- Total moment: 0.00 μB per formula unit
- Final energy: -47.720 eV for the cell shown

(2)
## Y2Fe3Mo4N3 (PBE)

Data for a relaxed structure of Y2Fe3Mo4N3.

abc: 5.393 5.393 13.487
angles: 101.27 101.27 60.27
Each line ends with the local moment (μB).
Atoms (fractional coordinates):
1 Mo 0.863 0.696 0.581  -0.05
2 Mo 0.190 0.031 0.581  -0.05
3 Mo 0.969 0.810 0.919  -0.05
4 Mo 0.137 0.304 0.419  -0.05
5 Mo 0.696 0.863 0.081  -0.04
6 Mo 0.304 0.137 0.919  -0.04
7 Mo 0.810 0.969 0.419  -0.05
8 Mo 0.031 0.190 0.081  -0.05
9 N 0.658 0.182 0.000  -0.01
10 N 0.182 0.658 0.500  -0.01
11 N 0.342 0.818 0.000  -0.01
12 N 0.500 0.000 0.500  -0.02
13 N 0.000 0.500 0.000  -0.03
14 N 0.818 0.342 0.500  -0.01
15 Fe 0.416 0.086 0.249  2.26
16 Fe 0.082 0.918 0.750  2.26
17 Fe 0.584 0.914 0.751  2.26
18 Fe 0.918 0.082 0.250  2.26
19 Fe 0.086 0.416 0.749  2.27
20 Fe 0.914 0.584 0.251  2.27
21 Y 0.541 0.377 0.623  -0.10
22 Y 0.623 0.459 0.877  -0.10
23 Y 0.377 0.541 0.123  -0.10
24 Y 0.459 0.623 0.377  -0.10

Computed properties:
- Total moment: 6.17 μB per formula unit
- Final energy: -221.205 eV for the cell shown

(3)
## TaNbPt (PBE)

Data for a relaxed structure of TaNbPt.

abc: 4.407 4.407 4.407
angles: 60.00 60.00 60.00
Atoms (fractional coordinates):
1 Pt 0.000 0.000 0.000
2 Ta 0.750 0.750 0.750
3 Nb 0.250 0.250 0.250

Computed properties:
- Total moment: 0.01 μB per formula unit
- Energy of formation: 150 meV/atom
- Final energy: -27.553 eV for the cell shown

(4)
## Pr2Sm2CIBr2Cl2 (PBE)

Data for a relaxed structure of Pr2Sm2CIBr2Cl2.

abc: 9.290 9.290 8.901
angles: 103.20 103.20 24.79
Atoms (fractional coordinates):
1 Br 0.827 0.827 0.153
2 Br 0.173 0.173 0.847
3 Cl 0.163 0.163 0.297
4 Cl 0.837 0.837 0.703
5 C 0.500 0.500 0.000
6 Pr 0.000 0.000 0.803
7 Pr 0.000 0.000 0.197
8 Sm 0.640 0.640 0.072
9 Sm 0.360 0.360 0.928
10 I 0.500 0.500 0.500

Computed properties:
- Total moment: 0.01 μB per formula unit
- Final energy: -51.555 eV for the cell shown

(5)
## BaCoBi (PBE)

Data for a relaxed structure of BaCoBi.

abc: 7.701 7.701 4.615
angles: 90.00 90.00 120.00
Each line ends with the local moment (μB).
Atoms (fractional coordinates):
1 Ba 0.000 0.592 0.000  -0.04
2 Ba 0.592 0.000 0.000  -0.04
3 Ba 0.408 0.408 0.000  -0.04
4 Co 0.667 0.333 0.500  1.03
5 Co 0.000 0.000 0.000  1.16
6 Co 0.333 0.667 0.500  1.02
7 Bi 0.000 0.260 0.500  -0.02
8 Bi 0.740 0.740 0.500  -0.01
9 Bi 0.260 0.000 0.500  -0.01

Computed properties:
- Total moment: 0.95 μB per formula unit
- Final energy: -38.859 eV for the cell shown

(6)
## Ho2CuSi (PBE)

Data for a relaxed structure of Ho2CuSi.

abc: 5.582 3.960 7.660
angles: 90.00 92.16 90.00
Atoms (fractional coordinates):
1 Ho 0.870 0.250 0.174
2 Ho 0.367 0.750 0.316
3 Ho 0.130 0.750 0.826
4 Ho 0.633 0.250 0.684
5 Si 0.130 0.250 0.537
6 Si 0.870 0.750 0.463
7 Cu 0.373 0.250 0.035
8 Cu 0.627 0.750 0.965

Computed properties:
- Total moment: 0.00 μB per formula unit
- Final energy: -40.639 eV for the cell shown